A | ## Tb3TmAl (PBE)

Data for a relaxed structure of Tb3TmAl.

Lattice parameters (Å, degrees): 8.198 6.749 13.519 90.00 127.11 90.00
Positions (direct):
Tb 0.011 0.111 0.384
Tb 0.011 0.389 0.884
Tb 0.388 0.682 0.612
Tb 0.388 0.818 0.112
Tb 0.435 0.667 0.884
Tb 0.435 0.833 0.384
Tb 0.565 0.167 0.616
Tb 0.565 0.333 0.116
Tb 0.612 0.182 0.888
Tb 0.612 0.318 0.388
Tb 0.989 0.611 0.116
Tb 0.989 0.889 0.616
Tm 0.105 0.137 0.146
Tm 0.105 0.363 0.646
Tm 0.895 0.637 0.354
Tm 0.895 0.863 0.854
Al 0.254 0.069 0.881
Al 0.254 0.431 0.381
Al 0.746 0.569 0.619
Al 0.746 0.931 0.119

Total magnetization in μB/cell: 0.00
N(E_F) in states/eV/cell: 25.31
ρ in g/cm3: 7.5

---

B | ## Tb3TmAl (PBE)

Data for a relaxed structure of Tb3TmAl.

Lattice parameters (Å, degrees): 6.690 6.690 12.392 95.12 95.12 31.16
Positions (direct):
Tb 0.035 0.035 0.195
Tb 0.141 0.141 0.449
Tb 0.364 0.364 0.021
Tb 0.636 0.636 0.979
Tb 0.859 0.859 0.551
Tb 0.965 0.965 0.805
Tm 0.223 0.223 0.748
Tm 0.777 0.777 0.252
Al 0.447 0.447 0.376
Al 0.553 0.553 0.624

Total magnetization in μB/cell: 0.62
N(E_F) in states/eV/cell: 13.24
ρ in g/cm3: 7.8

---

Which structure is most stable, and how do the rest compare? From most to least stable: B, A.

---

A | ## Tb6TmAl2 (PBE)

Data for a relaxed structure of Tb6TmAl2.

Lattice parameters (Å, degrees): 14.244 14.244 14.244 160.69 160.69 27.44
Positions (direct):
Tb 0.145 0.650 0.000
Tb 0.250 0.750 0.500
Tb 0.350 0.350 0.494
Tb 0.650 0.145 0.000
Tb 0.750 0.250 0.500
Tb 0.855 0.855 0.506
Tm 0.000 0.000 0.000
Al 0.315 0.315 0.000
Al 0.685 0.685 0.000

Total magnetization in μB/cell: 0.00
N(E_F) in states/eV/cell: 9.97
ρ in g/cm3: 6.2

---

B | ## Tb6TmAl2 (PBE)

Data for a relaxed structure of Tb6TmAl2.

Lattice parameters (Å, degrees): 6.542 6.542 11.757 108.26 108.26 32.61
Positions (direct):
Tb 0.024 0.024 0.328
Tb 0.312 0.312 0.411
Tb 0.314 0.314 0.123
Tb 0.686 0.686 0.877
Tb 0.688 0.688 0.589
Tb 0.976 0.976 0.672
Tm 0.000 0.000 0.000
Al 0.352 0.352 0.800
Al 0.648 0.648 0.200

Total magnetization in μB/cell: 0.00
N(E_F) in states/eV/cell: 10.57
ρ in g/cm3: 7.6

---

Which structure is most stable, and how do the rest compare? From most to least stable: B, A.

---

A | ## TbTm2Al2 (PBE)

Data for a relaxed structure of TbTm2Al2.

Lattice parameters (Å, degrees): 3.596 5.121 13.404 90.00 97.72 90.00
Positions (direct):
Tb 0.145 0.250 0.292
Tb 0.855 0.750 0.708
Tm 0.047 0.750 0.094
Tm 0.233 0.750 0.467
Tm 0.767 0.250 0.533
Tm 0.953 0.250 0.906
Al 0.360 0.250 0.719
Al 0.451 0.750 0.903
Al 0.549 0.250 0.097
Al 0.640 0.750 0.281

Total magnetization in μB/cell: 0.00
N(E_F) in states/eV/cell: 6.58
ρ in g/cm3: 7.5

---

B | ## TbTm2Al2 (PBE)

Data for a relaxed structure of TbTm2Al2.

Lattice parameters (Å, degrees): 5.538 3.620 13.197 90.00 96.31 90.00
Positions (direct):
Tb 0.181 0.250 0.235
Tb 0.819 0.750 0.765
Tm 0.240 0.750 0.463
Tm 0.346 0.250 0.889
Tm 0.654 0.750 0.111
Tm 0.760 0.250 0.537
Al 0.150 0.750 0.042
Al 0.293 0.250 0.659
Al 0.707 0.750 0.341
Al 0.850 0.250 0.958

Total magnetization in μB/cell: 0.00
N(E_F) in states/eV/cell: 10.57
ρ in g/cm3: 7.0

---

Which structure is most stable, and how do the rest compare? From most to least stable: A, B.